AgAs2 | GGA-PBE | optimized geometry

Cell: 5.8677 5.8677 5.8677 Å, 151.28 137.15 52.41°
Closest atoms and distances in Å follow each position.
Fractional positions:
1 As 0.6203 0.6203 0.0000  1 As 2.53
2 As 0.3797 0.3797 0.0000  1 As 2.53
3 Ag 0.0000 0.0000 0.0000  8 As 2.88, 2 Ag 2.91

Results
Its crystal system is orthorhombic. The formation energy is 0.8 eV per formula unit. The space group is Immm (71). The volume is 65.69 Å³/cell. The calculation puts the spin magnetization at 0.00 Bohr magnetons per cell.